Here is a geometry-optimized TiCoPO2 structure from Alexandria. Energies are from PBE with a Hubbard U.

* total energy: -30.500 eV per cell
* polymorph energy (0 for the lowest one): 615 meV/atom

Cell: 3.6741 3.6741 4.5245 Å, 90.00 90.00 90.00°
Element x y z (fractional)
Ti (0.0000, 0.0000, 0.0000)
Co (0.5000, 0.5000, 0.5000)
P (0.5000, 0.5000, 0.0000)
O (0.0000, 0.5000, 0.5000)
O (0.5000, 0.0000, 0.5000)